Entry from Alexandria: crystalline NdCo2TeO6 at its relaxed geometry (PBE with a Hubbard U).

```
data_NdCo2TeO6
_chemical_formula_sum 'Nd1 Co2 Te1 O6'
_cell_length_a 5.3889
_cell_length_b 5.3907
_cell_length_c 5.3908
_cell_angle_alpha 62.59
_cell_angle_beta 62.61
_cell_angle_gamma 62.49
_symmetry_space_group_name_H-M 'P 1'
_symmetry_Int_Tables_number 1
_symmetry_space_group_name_Hall 'P 1'
loop_
_atom_site_label
_atom_site_type_symbol
_atom_site_fract_x
_atom_site_fract_y
_atom_site_fract_z
_atom_site_occupancy
Nd1 Nd 0.0000 0.0000 0.0000 1
Co1 Co 0.2543 0.2555 0.2541 1
Co2 Co 0.7564 0.7585 0.7571 1
Te1 Te 0.5403 0.5413 0.5411 1
O1 O 0.0910 0.5260 0.8993 1
O2 O 0.4306 0.9447 0.5959 1
O3 O 0.5220 0.9008 0.0911 1
O4 O 0.5961 0.4324 0.9431 1
O5 O 0.8981 0.0927 0.5248 1
O6 O 0.9429 0.5969 0.4313 1
```

Summary:
Magnetic moment ... 2.97 μB/cell
Total DFT energy (no corrections) ... -63.45 eV per cell